1.
Here is a geometry-optimized Ga2AgSb2 structure from Alexandria. Energies are from PBE.

Properties
DFT total energy (eV per atom): -3.277
Energy above the most stable polymorph in this dataset (eV/f.u.): 0.00
N(E_F) (states/eV per cell): 4.631

Cell: 7.8138 7.8138 3.9438 Å, 90.00 90.00 90.00°
Last column: nearest neighbours and their distance in Å.
Space group P4/mbm (No. 127)
Unique sites:
Ga 0.1337 0.3663 0.0000 [4 per cell]  1 Ga 2.96, 6 Sb 2.97-3.07
Ag 0.0000 0.0000 0.5000 [2 per cell]  4 Sb 2.92
Sb 0.1650 0.6650 0.5000 [4 per cell]  2 Ag 2.92, 6 Ga 2.97-3.07

***

2.
Here is a geometry-optimized KS2F2 structure from Alexandria. Energies are from PBE.

Properties
DFT total energy (eV per atom): -3.670
Energy above the most stable polymorph in this dataset (eV/f.u.): 0.00
N(E_F) (states/eV per cell): 0.000

Cell: 7.5996 7.5996 3.7552 Å, 90.00 90.00 90.00°
Last column: nearest neighbours and their distance in Å.
Space group P4/mbm (No. 127)
Unique sites:
K 0.0000 0.0000 0.0000 [2 per cell]  4 S 3.21, 8 F 3.29
S 0.0860 0.4140 0.0000 [4 per cell]  1 S 1.85
F 0.2276 0.2724 0.5000 [4 per cell]  2 S 2.42

***

3.
Here is a geometry-optimized Pm4CoI2N structure from Alexandria. Energies are from PBE.

Properties
DFT total energy (eV per atom): -5.535
N(E_F) (states/eV per cell): 4.847

Cell: 6.9925 3.8368 8.2002 Å, 90.00 106.68 90.00°
Last column: nearest neighbours and their distance in Å.
Space group P2/m (No. 10)
Unique sites:
Pm 0.2016 0.0000 0.1713 [2 per cell]  2 N 2.55, 1 Co 2.83
Pm 0.2699 0.5000 0.8239 [2 per cell]  2 Co 2.65, 1 N 2.69
Co 0.5000 0.0000 0.0000 [1 per cell]  6 Pm 2.65-2.83
I 0.0000 0.0000 0.5000 [1 per cell]  6 Pm 3.38
I 0.5000 0.5000 0.5000 [1 per cell]  6 Pm 3.47-3.48, 2 I 3.84
N 0.0000 0.5000 0.0000 [1 per cell]  6 Pm 2.55-2.69

***

4.
Here is a geometry-optimized Ho3AsC structure from Alexandria. Energies are from PBE.

Properties
DFT total energy (eV per atom): -6.211
N(E_F) (states/eV per cell): 29.861

Cell: 13.6013 10.6933 6.5505 Å, 90.00 101.15 90.00°
Last column: nearest neighbours and their distance in Å.
Space group C2/c (No. 15)
Unique sites:
Ho 0.0964 0.2477 0.4626 [8 per cell]  2 C 2.42-2.49
Ho 0.1009 0.0784 0.9541 [8 per cell]  3 C 2.47-2.58
Ho 0.1052 0.4202 0.9204 [8 per cell]  1 C 2.42
As 0.2459 0.3918 0.2940 [8 per cell]  6 Ho 2.82-3.12
C 0.0000 0.0877 0.2500 [4 per cell]  6 Ho 2.42-2.58
C 0.0000 0.2537 0.7500 [4 per cell]  6 Ho 2.42-2.54